[1]
Material: Ag3Pt
Method: DFT, PBEsol
State: optimized geometry

Output
Energy of formation from the pure elements, eV per atom: 0.010

```
Ag3Pt
1.0
-2.0257 -1.8268 -0.5484
1.8500 -3.0658 3.3789
-2.5996 4.4412 1.8662
Pt Ag
1 3
Direct
0.0000 0.6712 0.0000
0.7469 0.7442 0.4939
0.2531 0.2503 0.5061
0.5000 0.1677 0.0000
```

=====

[2]
Material: Ag2Pt3
Method: DFT, PBEsol
State: optimized geometry

Output
Offset from the most stable computed form, eV/atom: 0.045
Energy of formation from the pure elements, eV per atom: 0.025

```
Ag2Pt3
1.0
-1.5876 1.1576 4.3826
-4.7783 0.5222 -0.1463
-1.5945 -6.3187 3.7232
Pt Ag
6 4
Direct
0.3582 0.7500 0.2836
0.9498 0.7500 0.1005
0.5480 0.7500 0.9041
0.0502 0.2500 0.8995
0.6418 0.2500 0.7164
0.4520 0.2500 0.0959
0.7492 0.7500 0.5016
0.2508 0.2500 0.4984
0.8469 0.2500 0.3063
0.1531 0.7500 0.6937
```

=====

[3]
Material: AgPt4
Method: DFT, PBEsol
State: optimized geometry

Output
Offset from the most stable computed form, eV/atom: 1.034
Energy of formation from the pure elements, eV per atom: 1.035

```
AgPt4
1.0
4.9595 0.0000 0.0000
-1.6532 4.6759 0.0000
-1.6532 -2.3379 4.0494
Pt Ag
4 1
Direct
0.0000 0.5000 0.0000
0.0000 0.0000 0.5000
0.5000 0.5000 0.5000
0.5000 0.0000 0.0000
0.0000 0.0000 0.0000
```

=====

[4]
Material: AgPt
Method: DFT, PBEsol
State: optimized geometry

Output
Energy of formation from the pure elements, eV per atom: 0.032

```
AgPt
1.0
3.9022 0.0000 0.0000
0.0000 5.6322 0.0000
0.0000 0.0000 8.5213
Pt Ag
6 6
Direct
0.5000 0.2586 0.1582
0.5000 0.7586 0.8418
0.0000 0.9880 0.6746
0.0000 0.4880 0.3254
0.0000 0.5107 0.9989
0.0000 0.0107 0.0011
0.5000 0.2422 0.4968
0.5000 0.7422 0.5032
0.5000 0.2565 0.8297
0.0000 0.4939 0.6635
0.5000 0.7565 0.1703
0.0000 0.9939 0.3365
```